Compound: Ce2Cu3Ni4
Source: the Alexandria database
Functional: PBE
Structure: relaxed

a b c (Å): 7.6694 6.8045 4.9644
angles (deg): 79.66 60.79 39.55
Closest atoms and distances in Å follow each position.
Positions (direct):
1 Ce 0.1474 0.1474 0.8526  8 Ni 2.72-2.90
2 Ce 0.8526 0.8526 0.1474  8 Ni 2.72-2.90
3 Cu 0.0000 0.0000 0.5000  4 Cu 2.46-2.48, 4 Ni 2.59
4 Cu 0.5000 0.5000 0.0000  4 Cu 2.46-2.48, 4 Ni 2.59
5 Cu 0.5000 0.5000 0.5000  4 Cu 2.48, 4 Ni 2.59
6 Ni 0.1640 0.4957 0.5043  1 Ni 2.49, 3 Cu 2.59, 1 Ce 2.72
7 Ni 0.4957 0.1640 0.8360  1 Ni 2.49, 3 Cu 2.59, 1 Ce 2.72
8 Ni 0.5043 0.8360 0.1640  1 Ni 2.49, 3 Cu 2.59, 1 Ce 2.72
9 Ni 0.8360 0.5043 0.4957  1 Ni 2.49, 3 Cu 2.59, 1 Ce 2.72

The magnetization comes out at 0.00 μB/f.u. As for the uncorrected energy: -49.29 eV for the cell shown. For the calculated volume, the calculation gives 15.0 A^3/atom. For the formation energy, the calculation gives -0.2231 eV per atom.

Compound: CaRe4Ir
Source: the Alexandria database
Functional: PBE
Structure: relaxed

a b c (Å): 5.2525 5.2525 5.2525
angles (deg): 60.00 60.00 60.00
Closest atoms and distances in Å follow each position.
Positions (direct):
1 Ca 0.0000 0.0000 0.0000  12 Re 3.08, 4 Ir 3.22
2 Re 0.3745 0.3745 0.3745  6 Re 2.62-2.64
3 Re 0.3745 0.3745 0.8765  6 Re 2.62-2.64
4 Re 0.3745 0.8765 0.3745  6 Re 2.62-2.64
5 Re 0.8765 0.3745 0.3745  6 Re 2.62-2.64
6 Ir 0.7500 0.7500 0.7500  12 Re 3.08, 4 Ca 3.22

The magnetization comes out at 0.00 μB/f.u. As for the uncorrected energy: -58.06 eV for the cell shown. For the calculated volume, the calculation gives 17.1 A^3/atom. For the formation energy, the calculation gives 0.4327 eV per atom.

Compound: CaTl2Os
Source: the Alexandria database
Functional: PBE
Structure: relaxed

a b c (Å): 3.2913 4.7120 6.1258
angles (deg): 90.00 104.00 90.00
Closest atoms and distances in Å follow each position.
Positions (direct):
1 Ca 0.0000 0.0000 0.0000  2 Os 3.11, 8 Tl 3.27-3.33, 2 Ca 3.29
2 Tl 0.3594 0.5000 0.7270  2 Os 2.83, 1 Tl 3.14
3 Tl 0.6406 0.5000 0.2730  2 Os 2.83, 1 Tl 3.14
4 Os 0.5000 0.0000 0.5000  4 Tl 2.83, 2 Ca 3.11

The magnetization comes out at 0.39 μB/f.u. As for the uncorrected energy: -16.15 eV for the cell shown. For the calculated volume, the calculation gives 23.0 A^3/atom. For the formation energy, the calculation gives 0.4531 eV per atom.

Compound: CePmUN3
Source: the Alexandria database
Functional: PBE
Structure: relaxed

a b c (Å): 6.1798 3.3786 9.7374
angles (deg): 90.00 101.02 90.00
Closest atoms and distances in Å follow each position.
Positions (direct):
1 Ce 0.2343 0.2500 0.1088  3 N 2.31-2.58
2 Ce 0.7657 0.7500 0.8912  3 N 2.31-2.58
3 Pm 0.1992 0.2500 0.7461  6 N 2.47-2.57
4 Pm 0.8008 0.7500 0.2539  6 N 2.47-2.57
5 U 0.3335 0.7500 0.4294  5 N 2.24-2.49
6 U 0.6665 0.2500 0.5706  5 N 2.24-2.49
7 N 0.0994 0.2500 0.3592  2 U 2.24
8 N 0.1917 0.7500 0.9442  3 Ce 2.31-2.58, 2 Pm 2.57
9 N 0.4464 0.7500 0.6725  3 U 2.34-2.49, 2 Pm 2.47, 1 Ce 2.61
10 N 0.5536 0.2500 0.3275  3 U 2.34-2.49, 2 Pm 2.47, 1 Ce 2.61
11 N 0.8083 0.2500 0.0558  3 Ce 2.31-2.58, 2 Pm 2.57
12 N 0.9006 0.7500 0.6408  2 U 2.24

The magnetization comes out at 2.28 μB/f.u. As for the uncorrected energy: -108.12 eV for the cell shown. The value obtained for the uncorrected formation energy is -1.1852 eV/atom. For the calculated volume, the calculation gives 16.6 A^3/atom.

Compound: Zn2InAs
Source: the Alexandria database
Functional: PBE
Structure: relaxed

a b c (Å): 5.1533 5.1533 3.1083
angles (deg): 93.01 93.01 108.81
Closest atoms and distances in Å follow each position.
Positions (direct):
1 Zn 0.0000 0.5000 0.0000  4 As 2.94-3.08, 4 In 2.94-3.08, 4 Zn 3.00-3.11
2 Zn 0.5000 0.0000 0.0000  4 In 2.94-3.08, 4 As 2.94-3.08, 4 Zn 3.00-3.11
3 In 0.0000 0.0000 0.5000  8 Zn 2.94-3.08, 2 As 3.00, 2 In 3.11
4 As 0.5000 0.5000 0.5000  8 Zn 2.94-3.08, 2 In 3.00, 2 As 3.11

The magnetization comes out at 0.00 μB/f.u. As for the uncorrected energy: -9.20 eV for the cell shown. For the calculated volume, the calculation gives 19.5 A^3/atom. For the formation energy, the calculation gives 0.1837 eV per atom.

Compound: Al2PbAu
Source: the Alexandria database
Functional: PBE
Structure: relaxed

a b c (Å): 6.9501 6.9501 6.9501
angles (deg): 150.93 146.61 44.85
Closest atoms and distances in Å follow each position.
Positions (direct):
1 Al 0.0000 0.0000 0.0000  2 Au 2.63
2 Al 0.6770 0.1770 0.5000  4 Au 2.67
3 Pb 0.3702 0.3702 0.0000  6 Al 3.13-3.19, 2 Au 3.29, 2 Pb 3.49
4 Au 0.1532 0.6532 0.5000  6 Al 2.63-2.67

The magnetization comes out at 0.00 μB/f.u. As for the uncorrected energy: -14.43 eV for the cell shown. For the calculated volume, the calculation gives 22.4 A^3/atom. For the formation energy, the calculation gives 0.0095 eV per atom.

Compound: ZnCoRe
Source: the Alexandria database
Functional: PBE
Structure: relaxed

a b c (Å): 5.6968 5.6968 5.6968
angles (deg): 152.52 152.52 39.26
Closest atoms and distances in Å follow each position.
Positions (direct):
1 Zn 0.0000 0.0000 0.0000  4 Co 2.59, 4 Zn 2.71, 4 Re 2.78
2 Co 0.3377 0.3377 0.0000  4 Re 2.50, 4 Zn 2.59, 4 Co 2.71
3 Re 0.6882 0.6882 0.0000  4 Co 2.50, 4 Re 2.71, 4 Zn 2.78

The magnetization comes out at 0.31 μB/f.u. The value obtained for the polymorph energy (0 for the lowest one) is 0.000 eV per atom. As for the uncorrected energy: -20.67 eV for the cell shown. For the calculated volume, the calculation gives 13.1 A^3/atom. For the formation energy, the calculation gives 0.0525 eV per atom.

Compound: CeIn6Pd3
Source: the Alexandria database
Functional: PBE
Structure: relaxed

a b c (Å): 9.8058 4.5457 10.2055
angles (deg): 90.00 96.01 90.00
Closest atoms and distances in Å follow each position.
Positions (direct):
1 Ce 0.0991 0.2500 0.2595  4 Pd 3.27-3.36, 9 In 3.30-3.60
2 Ce 0.9009 0.7500 0.7405  4 Pd 3.27-3.36, 9 In 3.30-3.60
3 In 0.0851 0.2500 0.9239  4 Pd 2.74-2.88
4 In 0.1266 0.7500 0.5003  3 Pd 2.76-2.81
5 In 0.2703 0.7500 0.7906  4 Pd 2.73-2.96
6 In 0.3438 0.7500 0.3003  3 Pd 2.73-2.78
7 In 0.3612 0.2500 0.5556  4 Pd 2.72-2.83
8 In 0.3996 0.2500 0.0689  3 Pd 2.78-2.97
9 In 0.6004 0.7500 0.9311  3 Pd 2.78-2.97
10 In 0.6388 0.7500 0.4444  4 Pd 2.72-2.83
11 In 0.6562 0.2500 0.6997  3 Pd 2.73-2.78
12 In 0.7297 0.2500 0.2094  4 Pd 2.73-2.96
13 In 0.8734 0.2500 0.4997  3 Pd 2.76-2.81
14 In 0.9149 0.7500 0.0761  4 Pd 2.74-2.88
15 Pd 0.1180 0.2500 0.6609  7 In 2.72-2.96
16 Pd 0.2042 0.7500 0.0490  7 In 2.78-2.97
17 Pd 0.4969 0.2500 0.3347  7 In 2.73-2.83
18 Pd 0.5031 0.7500 0.6653  7 In 2.73-2.83
19 Pd 0.7958 0.2500 0.9510  7 In 2.78-2.97
20 Pd 0.8820 0.7500 0.3391  7 In 2.72-2.96

The magnetization comes out at 0.90 μB/f.u. As for the uncorrected energy: -84.69 eV for the cell shown. For the calculated volume, the calculation gives 22.6 A^3/atom. For the formation energy, the calculation gives -0.4404 eV per atom.

Which value of magnetization does entry 8 give?
0.90 μB/f.u.

Copy entry 3 word for word.
Compound: CaTl2Os
Source: the Alexandria database
Functional: PBE
Structure: relaxed

a b c (Å): 3.2913 4.7120 6.1258
angles (deg): 90.00 104.00 90.00
Closest atoms and distances in Å follow each position.
Positions (direct):
1 Ca 0.0000 0.0000 0.0000  2 Os 3.11, 8 Tl 3.27-3.33, 2 Ca 3.29
2 Tl 0.3594 0.5000 0.7270  2 Os 2.83, 1 Tl 3.14
3 Tl 0.6406 0.5000 0.2730  2 Os 2.83, 1 Tl 3.14
4 Os 0.5000 0.0000 0.5000  4 Tl 2.83, 2 Ca 3.11

The magnetization comes out at 0.39 μB/f.u. As for the uncorrected energy: -16.15 eV for the cell shown. For the calculated volume, the calculation gives 23.0 A^3/atom. For the formation energy, the calculation gives 0.4531 eV per atom.

Which of these has the highest calculated volume?
CaTl2Os